# 1
AcDy2PaN4: relaxed, GGA-PBE.

Results
Formation energy (no corrections): -1.462 eV/atom
SG: P2/m, No. 10
Volume: 130.75 Å³/cell

```
AcDy2PaN4
1.0
6.1419 0.0000 0.0000
0.0000 3.5789 0.0000
-2.0978 0.0000 5.9483
Ac Dy Pa N
1 2 1 4
Cartesian
0.0000 0.0000 0.0000
2.0221 0.0000 2.9742
3.0710 1.7894 0.0000
-1.0489 1.7894 2.9742
0.0076 0.0000 4.3323
0.9275 1.7894 1.7323
4.0366 0.0000 1.6160
3.1166 1.7894 4.2160
```



# 2
AcDy2PtN4: relaxed, GGA-PBE.

Results
Formation energy (no corrections): -0.855 eV/atom
SG: Cmcm, No. 63
Volume: 249.28 Å³/cell

```
AcDy2PtN4
1.0
1.7507 -6.0655 0.0000
1.7507 6.0655 0.0000
0.0000 0.0000 11.7378
Ac Dy Pt N
2 4 2 8
Cartesian
1.7507 4.7525 8.8034
1.7507 -4.7525 2.9345
1.7507 1.5615 6.4120
1.7507 1.5615 11.1947
1.7507 -1.5615 0.5431
1.7507 -1.5615 5.3258
1.7507 4.1951 2.9345
1.7507 -4.1951 8.8034
0.0000 0.0000 0.0000
0.0000 0.0000 5.8689
1.7507 2.7789 1.4057
1.7507 2.7789 4.4632
1.7507 0.6585 8.8034
1.7507 -0.6585 2.9345
1.7507 -2.7789 7.2746
1.7507 -2.7789 10.3321
```



# 3
Ac2DyPuN4: relaxed, GGA-PBE.

Results
Formation energy (no corrections): -1.195 eV/atom
SG: P2/m, No. 10
Volume: 139.85 Å³/cell

```
Ac2DyPuN4
1.0
6.2775 0.0000 0.0000
0.0000 3.6557 0.0000
-2.0757 0.0000 6.0941
Ac Dy Pu N
2 1 1 4
Cartesian
0.0000 0.0000 0.0000
3.1387 1.8279 0.0000
-1.0379 1.8279 3.0470
2.1009 0.0000 3.0470
0.0714 0.0000 4.3574
1.0908 1.8279 1.7769
3.1110 1.8279 4.3172
4.1303 0.0000 1.7367
```